{
  "formula": "AlWN3",
  "functional": "GGA-PBE",
  "state": "relaxed",
  "e_tot_ha_per_atom": -0.288,
  "magnetic_moment_mub_per_cell": 0.0,
  "n_ef_per_ev_fu": 1.973,
  "lattice": [[3.9411, 0.0000, 0.0000], [0.0000, 3.9411, 0.0000], [0.0000, 0.0000, 3.9411]],
  "species": ["Al", "W", "N", "N", "N"],
  "frac_coords": [[0.5000, 0.5000, 0.5000], [0.0000, 0.0000, 0.0000], [0.0000, 0.5000, 0.0000], [0.0000, 0.0000, 0.5000], [0.5000, 0.0000, 0.0000]]
}